# 1
A plane-wave DFT calculation with PBE was carried out for LaZnSi2 after structural relaxation.

a b c (Å): 3.5377 3.5377 6.5480
angles (deg): 90.00 90.00 98.17
With the nearest neighbours (Å) after each atom.
Atoms (fractional coordinates):
La  0.5000  0.5000  0.7500  8 Si 3.10-3.38, 2 Zn 3.27
Si  0.0000  0.0000  0.0652  1 Si 2.42, 2 Zn 2.61
Si  0.0000  0.0000  0.4348  1 Si 2.42, 2 Zn 2.61
Zn  0.5000  0.5000  0.2500  4 Si 2.61

Properties
The formation energy without anion corrections comes out at -0.18 eV/atom. The space-group type is Cmmm, No. 65.

# 2
A plane-wave DFT calculation with PBE was carried out for LaZn2Si after structural relaxation.

a b c (Å): 4.6589 4.6589 9.2421
angles (deg): 75.40 75.40 90.00
With the nearest neighbours (Å) after each atom.
Atoms (fractional coordinates):
Zn  0.4189  0.1250  0.2500  2 Zn 2.37, 2 Si 2.46
Zn  0.3311  0.6250  0.2500  2 Zn 2.37, 2 Si 2.46
Zn  0.3750  0.5811  0.7500  2 Zn 2.37, 2 Si 2.46
Zn  0.8750  0.6689  0.7500  2 Zn 2.37, 2 Si 2.46
Si  0.5000  0.5000  0.0000  4 Zn 2.46
Si  0.2500  0.7500  0.5000  4 Zn 2.46
La  0.0000  0.0000  0.0000  8 Zn 3.25-3.53, 4 Si 3.29
La  0.7500  0.2500  0.5000  8 Zn 3.25-3.53, 4 Si 3.29

Properties
The formation energy without anion corrections comes out at -0.22 eV/atom. The space-group type is I-42d, No. 122.

# 3
A plane-wave DFT calculation with PBE was carried out for LaZn2Si after structural relaxation.

a b c (Å): 4.9846 4.9846 4.9846
angles (deg): 127.90 110.94 91.63
With the nearest neighbours (Å) after each atom.
Atoms (fractional coordinates):
La  0.5040  0.5040  0.0000  5 Zn 3.05-3.36, 4 Si 3.05-3.13
Si  0.8102  0.3102  0.5000  3 Zn 2.51-2.70
Zn  0.9875  0.9875  0.0000  2 Si 2.51, 2 Zn 2.63
Zn  0.1983  0.6983  0.5000  2 Zn 2.63, 1 Si 2.70

Properties
The formation energy without anion corrections comes out at -0.22 eV/atom. The space-group type is Imm2, No. 44.

# 4
A plane-wave DFT calculation with PBE was carried out for La4ZnSi3 after structural relaxation.

a b c (Å): 4.5038 4.0792 11.4271
angles (deg): 90.00 90.00 90.00
With the nearest neighbours (Å) after each atom.
Atoms (fractional coordinates):
Zn  0.5000  0.5000  0.0632  2 Si 2.54
Si  0.0000  0.5000  0.5675  2 Si 2.53
Si  0.0000  0.0000  0.4363  2 Si 2.53
Si  0.5000  0.0000  0.9301  2 Zn 2.54
La  0.5000  0.5000  0.3623  6 Si 3.15-3.25, 1 Zn 3.42
La  0.0000  0.5000  0.8564  5 Si 3.15-3.30, 2 Zn 3.26
La  0.0000  0.0000  0.1431  4 Zn 3.17, 3 Si 3.32-3.35
La  0.5000  0.0000  0.6411  7 Si 3.15-3.30

Properties
The formation energy without anion corrections comes out at -0.62 eV/atom. The space-group type is Pmm2, No. 25.

# 5
A plane-wave DFT calculation with PBE was carried out for LaZn3Si after structural relaxation.

a b c (Å): 5.5866 5.5866 5.5866
angles (deg): 90.00 90.00 90.00
With the nearest neighbours (Å) after each atom.
Atoms (fractional coordinates):
Zn  0.0000  0.5000  0.0000  2 La 2.79
Zn  0.0000  0.0000  0.5000  2 La 2.79
Zn  0.5000  0.0000  0.0000  2 La 2.79
Si  0.5000  0.5000  0.5000  12 Zn 3.95
La  0.0000  0.0000  0.0000  6 Zn 2.79

Properties
The formation energy without anion corrections comes out at 1.30 eV/atom. The space-group type is Pm-3m, No. 221.

# 6
A plane-wave DFT calculation with PBE was carried out for La2ZnSi after structural relaxation.

a b c (Å): 5.1640 5.1640 5.1640
angles (deg): 60.00 60.00 60.00
With the nearest neighbours (Å) after each atom.
Atoms (fractional coordinates):
La  0.0000  0.0000  0.0000  4 La 3.16, 4 Zn 3.16
La  0.2500  0.2500  0.2500  4 Si 3.16, 4 La 3.16
Si  0.5000  0.5000  0.5000  4 La 3.16, 4 Zn 3.16
Zn  0.7500  0.7500  0.7500  4 Si 3.16, 4 La 3.16

Properties
The formation energy without anion corrections comes out at 0.10 eV/atom. The space-group type is F-43m, No. 216.

# 7
A plane-wave DFT calculation with PBE was carried out for La2ZnSi after structural relaxation.

a b c (Å): 3.5375 4.0229 7.2681
angles (deg): 90.00 90.00 90.00
With the nearest neighbours (Å) after each atom.
Atoms (fractional coordinates):
Zn  0.5000  0.5000  0.7500  8 La 3.30, 2 Zn 3.54, 2 Si 3.63
Si  0.5000  0.5000  0.2500  8 La 3.18, 2 Si 3.54
La  0.0000  0.0000  0.0149  4 Si 3.18, 4 Zn 3.30, 3 La 3.42-3.54
La  0.0000  0.0000  0.4851  4 Si 3.18, 4 Zn 3.30, 3 La 3.42-3.54

Properties
The formation energy without anion corrections comes out at -0.44 eV/atom. The space-group type is Pmmm, No. 47.

# 8
A plane-wave DFT calculation with PBE was carried out for LaZn2Si after structural relaxation.

a b c (Å): 5.3915 6.1603 2.9764
angles (deg): 76.93 87.97 115.41
With the nearest neighbours (Å) after each atom.
Atoms (fractional coordinates):
La  0.0000  0.5000  0.5000  2 La 2.98, 4 Si 3.03-3.13, 4 Zn 3.10
Si  0.5000  0.5000  0.0000  2 Si 2.98, 4 La 3.03-3.13, 4 Zn 3.10
Zn  0.0000  0.0000  0.0000  6 Zn 2.98-3.13, 2 Si 3.10, 2 La 3.10
Zn  0.5000  0.0000  0.5000  6 Zn 2.98-3.13, 2 La 3.10, 2 Si 3.10

Properties
The formation energy without anion corrections comes out at 0.05 eV/atom. The space-group type is C2/m, No. 12.

# 9
A plane-wave DFT calculation with PBE was carried out for La2ZnSi after structural relaxation.

a b c (Å): 4.4176 4.4176 6.2276
angles (deg): 90.00 90.00 90.00
With the nearest neighbours (Å) after each atom.
Atoms (fractional coordinates):
La  0.0000  0.0000  0.8760  2 Si 3.11, 4 Zn 3.12
La  0.5000  0.5000  0.3742  2 Zn 3.11-3.12, 4 Si 3.12
Si  0.0000  0.0000  0.3761  6 La 3.11-3.12
Zn  0.5000  0.5000  0.8737  6 La 3.11-3.12

Properties
The formation energy without anion corrections comes out at -0.21 eV/atom. The space-group type is P4mm, No. 99.

# 10
A plane-wave DFT calculation with PBE was carried out for LaZnSi2 after structural relaxation.

a b c (Å): 4.5929 4.5929 5.4839
angles (deg): 72.93 72.93 49.72
With the nearest neighbours (Å) after each atom.
Atoms (fractional coordinates):
La  0.2500  0.2500  0.2500  8 Si 3.12-3.40, 4 Zn 3.35
Si  0.0156  0.0156  0.8860  2 Si 2.50, 3 Zn 2.55-2.68
Si  0.4844  0.4844  0.6140  2 Si 2.50, 3 Zn 2.55-2.68
Zn  0.7500  0.7500  0.7500  6 Si 2.55-2.68

Properties
The formation energy without anion corrections comes out at -0.38 eV/atom. The space-group type is C2/m, No. 12.

# 11
A plane-wave DFT calculation with PBE was carried out for La2ZnSi after structural relaxation.

a b c (Å): 5.1304 3.9122 5.1308
angles (deg): 90.01 90.00 90.00
With the nearest neighbours (Å) after each atom.
Atoms (fractional coordinates):
Zn  0.5000  0.6247  0.8745  8 La 3.22-3.23
Si  0.0000  0.6250  0.3754  8 La 3.22-3.23
La  0.0000  0.1260  0.8753  4 Zn 3.22-3.23, 4 Si 3.22-3.23
La  0.5000  0.1243  0.3748  4 Si 3.22-3.23, 4 Zn 3.22-3.23

Properties
The formation energy without anion corrections comes out at -0.45 eV/atom. The space-group type is Pm, No. 6.

# 12
A plane-wave DFT calculation with PBE was carried out for La2Zn5Si after structural relaxation.

a b c (Å): 4.5255 8.4639 8.8993
angles (deg): 90.00 90.00 105.51
With the nearest neighbours (Å) after each atom.
Atoms (fractional coordinates):
La  0.7926  0.5851  0.7500  13 Zn 3.14-3.35, 2 Si 3.31
La  0.2074  0.4149  0.2500  13 Zn 3.14-3.35, 2 Si 3.31
La  0.0000  0.0000  0.0000  10 Zn 3.15-3.51, 4 Si 3.32
La  0.0000  0.0000  0.5000  10 Zn 3.15-3.51, 4 Si 3.32
Zn  0.1843  0.3686  0.8934  4 Zn 2.55-2.81
Zn  0.8157  0.6314  0.1066  4 Zn 2.55-2.81
Zn  0.1843  0.3686  0.6066  4 Zn 2.55-2.81
Zn  0.8157  0.6314  0.3934  4 Zn 2.55-2.81
Zn  0.3500  0.7001  0.9784  1 Si 2.51, 4 Zn 2.60-2.81
Zn  0.6500  0.2999  0.0216  1 Si 2.51, 4 Zn 2.60-2.81
Zn  0.3500  0.7001  0.5216  1 Si 2.51, 4 Zn 2.60-2.81
Zn  0.6500  0.2999  0.4784  1 Si 2.51, 4 Zn 2.60-2.81
Zn  0.5919  0.1838  0.7500  1 Si 2.47, 2 Zn 2.60
Zn  0.4081  0.8162  0.2500  1 Si 2.47, 2 Zn 2.60
Si  0.4402  0.8805  0.7500  3 Zn 2.47-2.51
Si  0.5598  0.1195  0.2500  3 Zn 2.47-2.51

Properties
The formation energy without anion corrections comes out at -0.45 eV/atom. The space-group type is Cmcm, No. 63.